Hg2PbW | GGA-PBE | optimized geometry

Structure (POSCAR):
```
Hg2PbW
1.0
5.805 -0.012 0.000
2.835 5.066 0.000
-4.320 -2.527 2.942
W Hg Pb
1 2 1
direct
0.750 0.250 0.500
0.000 0.000 0.000
0.500 0.500 0.000
0.250 0.750 0.500
```

Symmetry: No. 139
Formation enthalpy at 0 K: 0.938 eV per atom

***

Hg2PbW | GGA-PBE | optimized geometry

Structure (POSCAR):
```
Hg2PbW
1.0
8.270 0.000 0.000
0.000 8.270 0.000
4.135 4.135 2.841
Pb Hg W
2 4 2
direct
0.750 0.250 0.500
0.000 0.000 0.000
0.375 0.421 0.750
0.579 0.125 0.250
0.875 0.829 0.750
0.171 0.625 0.250
0.250 0.750 0.500
0.500 0.500 0.000
```

Symmetry: No. 122
Formation enthalpy at 0 K: 0.973 eV per atom

***

HgPb4W | GGA-PBE | optimized geometry

Structure (POSCAR):
```
HgPb4W
1.0
-3.063 -5.543 0.521
-1.754 -2.135 5.722
-6.146 -0.094 1.609
Pb Hg W
4 1 1
direct
0.873 0.376 0.376
0.376 0.873 0.376
0.376 0.376 0.376
0.376 0.376 0.873
0.000 0.000 0.000
0.750 0.750 0.750
```

Symmetry: No. 216
Formation enthalpy at 0 K: 1.048 eV per atom

***

Calculated volume (Å³/atom)
21.7 24.3 30.2